Computed, not measured: an optimized crystal structure of TlZnNiO4 at the PBE+U level of DFT.

It has space group Imma (No. 74), with a = 6.2091 Å, b = 6.3973 Å, c = 8.8002 Å, α = 90.00°, β = 90.00° and γ = 90.00°. The inequivalent atoms are Tl at (0.0000, 0.0000, 0.0000), Zn at (0.0000, 0.2500, 0.3770), Ni at (0.2500, 0.2500, 0.7500), O at (0.0000, 0.0249, 0.7439) and O at (0.2467, 0.2500, 0.5229).

The electronic total energy comes out at -127.2 eV per cell.